No. 1
12
Lattice="-0.055 -1.704 6.198 -6.071 -2.025 -0.610 2.114 -5.859 -1.592" Properties=species:S:1:pos:R:3 comment="MgSe2 (meta-GGA SCAN, PBEsol geometry)" vol_a3_per_fu=66.4 formation_energy_uncorrected_ev_per_fu=-2.98 pbc="T T T"
Se -5.227 -3.470 3.048
Se -4.596 -4.292 -0.506
Se -1.804 -6.643 -1.128
Se -2.436 -5.821 2.426
Se 0.584 -5.295 4.503
Se 1.215 -6.117 0.949
Se -2.208 -2.944 5.124
Se -1.576 -3.767 1.570
Mg 0.000 0.000 0.000
Mg -1.978 -3.942 -1.101
Mg -3.063 -1.864 2.794
Mg 1.029 -3.781 2.303

=====

No. 2
6
Lattice="5.596 0.016 -0.025 -2.370 5.069 0.025 2.370 2.062 4.631" Properties=species:S:1:pos:R:3 comment="Mg2Se (meta-GGA SCAN, PBEsol geometry)" vol_a3_per_fu=65.8 formation_energy_uncorrected_ev_per_fu=-1.85 pbc="T T T"
Mg 1.613 3.804 0.823
Mg 0.472 5.571 3.151
Mg 3.983 3.343 3.807
Mg 5.124 1.577 1.480
Se 1.185 2.814 3.479
Se -1.185 4.317 1.176

=====

No. 3
4
Lattice="-1.741 0.128 3.267 0.013 -3.137 -1.970 6.053 -2.050 3.306" Properties=species:S:1:pos:R:3 comment="MgSe3 (meta-GGA SCAN, PBEsol geometry)" vol_a3_per_fu=85.5 formation_energy_uncorrected_ev_per_fu=-0.54 pbc="T T T"
Se 3.027 -1.025 1.653
Se 0.807 -2.515 0.528
Se 4.104 -3.632 2.329
Mg 0.000 0.000 0.000

=====

| no. | DFT total energy (eV/f.u.) |
| --- | --- |
| 1 | -48.11 |
| 2 | -31.88 |
| 3 | -65.75 |